Density functional theory data (PBE) for a geometry-optimized Rb3Cu2PbCl9 structure.

Summary:
Its space group is P-3m1, No. 164. The raw formation energy is -1201 meV per atom.

Structure (extended XYZ):
```
15
Lattice="7.233 0.000 0.000 -3.617 6.264 0.000 0.000 0.000 8.976" Properties=species:S:1:pos:R:3 pbc="T T T"
Cl 1.808 3.132 0.000
Cl 1.698 5.157 2.827
Rb 3.617 2.088 2.823
Pb 0.000 0.000 4.488
Cl 3.617 0.000 0.000
Rb 0.000 0.000 0.000
Rb 0.000 4.176 6.153
Cl 5.315 1.107 6.149
Cl -1.808 3.132 0.000
Cu 3.617 2.088 7.638
Cl 3.617 4.049 6.149
Cl 1.918 1.107 6.149
Cu 0.000 4.176 1.338
Cl 0.000 2.215 2.827
Cl -1.698 5.157 2.827
```